Dy4Er3Te8 (GGA-PBE, relaxed); ΔE_f (raw) = -1.34 eV per atom
1.0
-5.749 6.344 1.144
-0.055 -6.876 5.232
8.334 1.337 1.848
Dy Er Te
4 3 8
direct
0.500 0.000 0.000
0.000 0.500 0.000
0.000 0.000 0.000
0.000 0.000 0.500
0.500 0.500 0.000
0.500 0.000 0.500
0.500 0.500 0.500
0.513 0.257 0.257
0.000 0.744 0.256
0.002 0.257 0.257
0.500 0.749 0.251
0.500 0.251 0.749
0.998 0.743 0.743
0.000 0.256 0.744
0.487 0.743 0.743